No. 1
Here is a relaxed structure of Sr2ZnOs from Alexandria via LeMat-Bulk. Energies are from PBE.

Lattice parameters (Å, degrees): 9.8793 9.8793 9.8793 21.48 21.48 21.48
Sites, in units of the cell vectors:
Zn  0.2500  0.2500  0.2500
Sr  0.4902  0.4902  0.4902
Os  0.7500  0.7500  0.7500
Sr  0.0098  0.0098  0.0098

Computed properties:
- N(E_F): 1.00 states/eV per atom

No. 2
Here is a relaxed structure of SrZn2Os from Alexandria via LeMat-Bulk. Energies are from PBE.

Lattice parameters (Å, degrees): 3.4362 3.4362 7.1175 90.00 90.00 90.00
Sites, in units of the cell vectors:
Zn  0.0000  0.0000  0.0656
Zn  0.5000  0.5000  0.2961
Os  0.0000  0.0000  0.4162
Sr  0.5000  0.5000  0.7222

Computed properties:
- N(E_F): 0.43 states/eV per atom

No. 3
Here is a relaxed structure of SrZn2Os from Alexandria via LeMat-Bulk. Energies are from PBE.

Lattice parameters (Å, degrees): 9.7789 9.7789 9.7789 17.52 17.52 17.52
Sites, in units of the cell vectors:
Os  0.2500  0.2500  0.2500
Sr  0.7500  0.7500  0.7500
Zn  0.5123  0.5123  0.5123
Zn  0.9877  0.9877  0.9877

Computed properties:
- N(E_F): 0.53 states/eV per atom

No. 4
Here is a relaxed structure of SrZn2Os from Alexandria via LeMat-Bulk. Energies are from PBE.

Lattice parameters (Å, degrees): 5.5117 5.5117 5.5117 142.52 125.33 68.17
Sites, in units of the cell vectors:
Sr  0.2500  0.7500  0.5000
Zn  0.5443  0.5443  0.0000
Os  0.7500  0.2500  0.5000
Zn  0.9557  0.9557  0.0000

Computed properties:
- N(E_F): 0.32 states/eV per atom

no.,formation energy from the elements (kJ/mol of formula units),total energy (eV per formula unit)
1,284,-12.9
2,114,-14.3
3,240,-13.0
4,141,-14.0